[1]
PBE Cd3Ga3Sb, relaxed; space group = Pm-3n (223); magnetic moment = 0.0 μB/cell; ΔE_f (raw) = 349 kJ/mol of formula units
1.0
-5.4404 -5.1244 -1.0029
-0.2175 -1.2246 7.4375
-5.2171 5.3949 0.7357
Ga Cd Sb
6 6 2
Direct
0.5000 0.0000 0.2500
0.5000 0.0000 0.7500
0.0000 0.2500 0.5000
0.2500 0.5000 0.0000
0.7500 0.5000 0.0000
0.0000 0.7500 0.5000
0.2500 0.0000 0.5000
0.5000 0.2500 0.0000
0.7500 0.0000 0.5000
0.0000 0.5000 0.7500
0.5000 0.7500 0.0000
0.0000 0.5000 0.2500
0.5000 0.5000 0.5000
0.0000 0.0000 0.0000

***

[2]
PBE ScIn3Br6, relaxed; space group = Fmmm (69); magnetic moment = 0.0 μB/cell; ΔE_f (raw) = -977 kJ/mol of formula units; energy above the lowest structure with this stoichiometry = 0.069 eV per atom
1.0
-6.1921 -2.5785 3.1353
-0.7520 -2.4233 -6.9558
6.8853 -3.5721 3.6569
Br In Sc
6 3 1
Direct
0.2293 0.7707 0.0000
0.9264 0.9264 0.2618
0.0736 0.0736 0.7382
0.7707 0.2293 0.0000
0.3353 0.3353 0.2618
0.6647 0.6647 0.7382
0.2500 0.7500 0.5000
0.7500 0.2500 0.5000
0.5000 0.5000 0.0000
0.0000 0.0000 0.0000

***

[3]
PBE NbAg2IrI, relaxed; space group = P4/mmm (123); magnetic moment = 0.0 μB/cell; ΔE_f (raw) = 403 kJ/mol of formula units
1.0
-4.6610 0.8755 -2.1858
-2.1320 -1.1931 4.0683
0.2010 4.9778 1.5652
Ag I Nb Ir
2 1 1 1
Direct
0.0000 0.0000 0.5000
0.5000 0.0000 0.0000
0.5000 0.5000 0.5000
0.0000 0.5000 0.0000
0.0000 0.0000 0.0000

***

What did the third record say?
PBE NbAg2IrI, relaxed; space group = P4/mmm (123); magnetic moment = 0.0 μB/cell; ΔE_f (raw) = 403 kJ/mol of formula units
1.0
-4.6610 0.8755 -2.1858
-2.1320 -1.1931 4.0683
0.2010 4.9778 1.5652
Ag I Nb Ir
2 1 1 1
Direct
0.0000 0.0000 0.5000
0.5000 0.0000 0.0000
0.5000 0.5000 0.5000
0.0000 0.5000 0.0000
0.0000 0.0000 0.0000

***

Copy entry 3 word for word.
PBE NbAg2IrI, relaxed; space group = P4/mmm (123); magnetic moment = 0.0 μB/cell; ΔE_f (raw) = 403 kJ/mol of formula units
1.0
-4.6610 0.8755 -2.1858
-2.1320 -1.1931 4.0683
0.2010 4.9778 1.5652
Ag I Nb Ir
2 1 1 1
Direct
0.0000 0.0000 0.5000
0.5000 0.0000 0.0000
0.5000 0.5000 0.5000
0.0000 0.5000 0.0000
0.0000 0.0000 0.0000